PrErSc2Bi4 | PBE | optimized geometry

Output
Fermi-level density of states (states/eV/f.u.): 1.5
ΔE_f (eV per formula unit): -6.07

Cell: 4.4153 7.6413 7.6283 Å, 109.53 90.00 90.00°
Positions (direct):
1 Bi 0.0000 0.2504 0.7332
2 Bi 0.0000 0.7496 0.2668
3 Bi 0.5000 0.2630 0.2711
4 Bi 0.5000 0.7370 0.7289
5 Er 0.5000 0.5000 0.0000
6 Sc 0.0000 0.5000 0.5000
7 Sc 0.5000 0.0000 0.5000
8 Pr 0.0000 0.0000 0.0000